# 1
# GaCN2F

A geometry-optimized GaCN2F structure (PBE, Alexandria via LeMat-Bulk).

Cell: 3.969 3.969 4.154 Å, 90.00 90.00 90.00°
Atoms (fractional coordinates):
Ga (0.000, 0.000, 0.000)
C (0.000, 0.000, 0.500)
N (0.000, 0.500, 0.000)
N (0.500, 0.000, 0.000)
F (0.500, 0.500, 0.500)

Properties
- Raw total energy: -19.9 eV/f.u.
- Excess energy over the best structure of this formula in the dataset: 979 meV/atom
- Energy relative to the elements, uncorrected: 2.18 eV per atom

# 2
# GaCO2F

A geometry-optimized GaCO2F structure (PBE, Alexandria via LeMat-Bulk).

Cell: 3.852 3.852 3.720 Å, 90.00 90.00 90.00°
Atoms (fractional coordinates):
Ga (0.000, 0.000, 0.000)
C (0.500, 0.500, 0.500)
O (0.000, 0.500, 0.000)
O (0.500, 0.000, 0.000)
F (0.000, 0.000, 0.500)

Properties
- Raw total energy: -22.2 eV/f.u.
- Energy relative to the elements, uncorrected: 0.37 eV per atom

# 3
# GaCO2F

A geometry-optimized GaCO2F structure (PBE, Alexandria via LeMat-Bulk).

Cell: 3.509 3.509 3.675 Å, 90.00 90.00 90.00°
Atoms (fractional coordinates):
Ga (0.000, 0.000, 0.000)
C (0.500, 0.500, 0.500)
O (0.000, 0.500, 0.500)
O (0.500, 0.000, 0.500)
F (0.500, 0.500, 0.000)

Properties
- Raw total energy: -22.5 eV/f.u.
- Energy relative to the elements, uncorrected: 0.31 eV per atom